[1]
Sn2TeRh | GGA-PBE | relaxed

Cell lengths 6.386, 6.386, 7.833 Å; angles 65.94, 65.94, 90.00 degrees
Sites, in units of the cell vectors:
Te 0.000 0.000 0.000
Te 0.750 0.250 0.500
Rh 0.250 0.750 0.500
Rh 0.500 0.500 0.000
Sn 0.875 0.809 0.750
Sn 0.559 0.125 0.250
Sn 0.375 0.441 0.750
Sn 0.191 0.625 0.250

Computed properties:
**Density**: 5.95 g cm⁻³
**Energy relative to the elements, uncorrected**: -0.019 eV/atom
**DOS at the Fermi energy**: 2.6 states/eV/f.u.


[2]
Dy3Er6Cd | GGA-PBE | relaxed

Cell lengths 6.176, 10.883, 10.883 Å; angles 123.81, 90.00, 90.00 degrees
Sites, in units of the cell vectors:
Dy 0.408 0.295 0.045
Dy 0.085 0.396 0.604
Dy 0.908 0.705 0.955
Dy 0.408 0.955 0.705
Dy 0.908 0.045 0.295
Dy 0.585 0.604 0.396
Er 0.890 0.055 0.945
Er 0.390 0.945 0.055
Er 0.382 0.571 0.962
Er 0.382 0.038 0.429
Er 0.554 0.290 0.367
Er 0.054 0.367 0.290
Er 0.882 0.962 0.571
Er 0.160 0.710 0.290
Er 0.882 0.429 0.038
Er 0.054 0.710 0.633
Er 0.554 0.633 0.710
Er 0.660 0.290 0.710
Cd 0.662 0.760 0.240
Cd 0.162 0.240 0.760

Computed properties:
**Density**: 8.76 g cm⁻³
**Offset from the most stable computed form**: 75.6 meV/atom
**DOS at the Fermi energy**: 11.9 states/eV/f.u.
**DFT formation energy**: 0.059 eV per atom


[3]
HfTePIr2 | GGA-PBE | relaxed

Cell lengths 4.845, 5.422, 4.845 Å; angles 90.00, 90.00, 90.00 degrees
Sites, in units of the cell vectors:
Te 0.000 0.500 0.000
Ir 0.500 0.000 0.000
Ir 0.000 0.000 0.500
P 0.500 0.500 0.500
Hf 0.000 0.000 0.000

Computed properties:
**Density**: 9.41 g cm⁻³
**Energy relative to the elements, uncorrected**: 1.465 eV/atom
**DOS at the Fermi energy**: 5.2 states/eV/f.u.